No. 1
## NiMoPt (GGA-PBE)

Data for a geometry-optimized NiMoPt structure.

Output
E_form ... 288 meV/atom

Cell: 4.0649 4.0649 4.0649 Å, 60.00 60.00 60.00°
Element x y z (fractional)
Mo  0.5000  0.5000  0.5000
Ni  0.7500  0.7500  0.7500
Pt  0.0000  0.0000  0.0000

No. 2
## TbBeZn2 (GGA-PBE)

Data for a geometry-optimized TbBeZn2 structure.

Output
E_form ... -152 meV/atom

Cell: 4.0449 4.0449 5.5167 Å, 68.49 68.49 60.00°
Element x y z (fractional)
Be  0.5000  0.5000  0.5000
Zn  0.7943  0.7943  0.6170
Zn  0.2057  0.2057  0.3830
Tb  0.0000  0.0000  0.0000

No. 3
## Ca2TcSb (GGA-PBE)

Data for a geometry-optimized Ca2TcSb structure.

Output
E_tot ... -4.65 eV/atom

Cell: 6.0998 6.0998 5.1282 Å, 65.15 65.15 35.72°
Element x y z (fractional)
Sb  0.5368  0.5368  0.4630
Ca  0.9813  0.9813  0.0185
Ca  0.7660  0.7660  0.7342
Tc  0.2159  0.2159  0.2843

No. 4
## Ho2Si4Rh3 (GGA-PBE)

Data for a geometry-optimized Ho2Si4Rh3 structure.

Output
E_tot ... -6.67 eV/atom

Cell: 5.4780 5.4780 6.5094 Å, 101.98 101.98 120.46°
Element x y z (fractional)
Ho  0.6354  0.6354  0.2709
Ho  0.3646  0.3646  0.7291
Si  0.0172  0.6627  0.6799
Si  0.6627  0.0172  0.6799
Si  0.9828  0.3373  0.3201
Si  0.3373  0.9828  0.3201
Rh  0.5000  0.0000  0.0000
Rh  0.0000  0.0000  0.0000
Rh  0.0000  0.5000  0.0000

No. 5
## KCd3Tc (GGA-PBE)

Data for a geometry-optimized KCd3Tc structure.

Output
E_form ... 440 meV/atom

Cell: 5.3593 5.3593 5.3593 Å, 90.00 90.00 90.00°
Site moments in Bohr magnetons follow the coordinates.
Element x y z (fractional)
K  0.5000  0.5000  0.5000  -0.01
Tc  0.0000  0.0000  0.0000  1.26
Cd  0.0000  0.5000  0.0000  0.01
Cd  0.0000  0.0000  0.5000  0.01
Cd  0.5000  0.0000  0.0000  0.00

No. 6
## MnZnSn (GGA-PBE)

Data for a geometry-optimized MnZnSn structure.

Output
E_form ... 207 meV/atom

Cell: 4.4642 4.4642 7.4139 Å, 72.48 72.48 60.00°
Site moments in Bohr magnetons follow the coordinates.
Element x y z (fractional)
Sn  0.6165  0.6165  0.1506  -0.11
Sn  0.3835  0.3835  0.8494  -0.11
Mn  0.2470  0.2470  0.2591  3.31
Mn  0.7530  0.7530  0.7409  3.31
Zn  0.8752  0.8752  0.3745  -0.03
Zn  0.1248  0.1248  0.6255  -0.03

No. 7
## CePuTlGa (GGA-PBE)

Data for a geometry-optimized CePuTlGa structure.

Output
E_form ... -264 meV/atom

Cell: 3.3033 3.3033 9.1306 Å, 90.00 90.00 90.00°
Site moments in Bohr magnetons follow the coordinates.
Element x y z (fractional)
Ce  0.5000  0.5000  0.7980  0.43
Pu  0.5000  0.5000  0.3432  5.49
Tl  0.0000  0.0000  0.0735  -0.02
Ga  0.0000  0.0000  0.5699  -0.03

No. 8
## La2TbNd6Tm3 (GGA-PBE)

Data for a geometry-optimized La2TbNd6Tm3 structure.

Output
E_form ... 21 meV/atom

Cell: 6.3115 6.3115 11.9843 Å, 95.04 95.04 120.02°
Element x y z (fractional)
La  0.3333  0.6667  0.0000
La  0.6667  0.3333  0.0000
Tb  0.0000  0.0000  0.0000
Nd  0.9145  0.5823  0.7440
Nd  0.7532  0.7532  0.2561
Nd  0.0855  0.4177  0.2560
Nd  0.5823  0.9145  0.7440
Nd  0.2468  0.2468  0.7439
Nd  0.4177  0.0855  0.2560
Tm  0.1664  0.8336  0.5000
Tm  0.8336  0.1664  0.5000
Tm  0.5000  0.5000  0.5000

No. 9
## YAg2 (GGA-PBE)

Data for a geometry-optimized YAg2 structure.

Output
E_form ... 30 meV/atom

Cell: 3.4500 3.4500 6.8209 Å, 90.00 90.00 120.00°
Element x y z (fractional)
Ag  0.0000  0.0000  0.9882
Ag  0.3333  0.6667  0.6785
Y  0.6667  0.3333  0.3333

No. 10
## Dy4Ho5Tm (GGA-PBE)

Data for a geometry-optimized Dy4Ho5Tm structure.

Output
E_form ... 310 meV/atom

Cell: 6.2046 7.8060 7.8060 Å, 80.91 66.58 66.58°
Element x y z (fractional)
Dy  0.4059  0.3891  0.7005
Dy  0.7950  0.7005  0.6109
Dy  0.1064  0.2995  0.3891
Dy  0.4954  0.6109  0.2995
Ho  0.8039  0.3770  0.9184
Ho  0.1809  0.9184  0.6230
Ho  0.7224  0.0816  0.3770
Ho  0.0994  0.6230  0.0816
Ho  0.6819  0.0000  0.0000
Tm  0.2192  0.0000  0.0000

No. 11
## NdHoNp2Sb4 (GGA-PBE)

Data for a geometry-optimized NdHoNp2Sb4 structure.

Output
E_tot ... -7.13 eV/atom

Cell: 4.4110 7.6375 7.6990 Å, 109.31 90.00 90.00°
Site moments in Bohr magnetons follow the coordinates.
Element x y z (fractional)
Nd  0.0000  0.0000  0.0000  0.00
Ho  0.5000  0.5000  0.0000  -0.04
Np  0.5000  0.0000  0.5000  3.90
Np  0.0000  0.5000  0.5000  3.84
Sb  0.5000  0.2567  0.2554  -0.07
Sb  0.5000  0.7433  0.7446  -0.07
Sb  0.0000  0.2543  0.7483  -0.07
Sb  0.0000  0.7457  0.2517  -0.07

No. 12
## CdAg2P (GGA-PBE)

Data for a geometry-optimized CdAg2P structure.

Output
E_form ... 184 meV/atom

Cell: 3.3351 3.8512 5.7210 Å, 90.00 90.00 90.00°
Element x y z (fractional)
Ag  0.0000  0.0000  0.9904
Ag  0.5000  0.5000  0.2417
Cd  0.0000  0.0000  0.5007
P  0.5000  0.5000  0.7672

Looking at total magnetization for the records above, in order, we have 0.0008; 0.0000; 0.0000; 0.0000; 0.2720; 1.1081; 1.5609; 0.0000; 0.0000; 0.0000; 0.9842; 0.0000 μB per atom.
Looking at volume for the records above, in order, we have 47.5; 70.8; 100.0; 153.0; 153.9; 120.0; 99.6; 406.9; 70.3; 318.4; 244.8; 73.5 Å³/cell.